No. 1
Entry from Alexandria via LeMat-Bulk: a relaxed structure of Si2NiAg (PBE-GGA).

* space-group type: No. 71
* N(E_F): 0.422 states/eV/atom
* offset from the most stable computed form: 186.8 meV/atom
* uncorrected formation energy: 0.172 eV/atom
* crystal system: orthorhombic

a b c (Å): 5.263 5.263 5.263
angles (deg): 150.58 124.98 63.62
Sites, in units of the cell vectors:
Ag 0.750 0.250 0.500
Ni 0.250 0.750 0.500
Si 0.033 0.033 0.000
Si 0.467 0.467 0.000



No. 2
Entry from Alexandria via LeMat-Bulk: a relaxed structure of In2Pt2Au (PBE-GGA).

* space-group type: No. 139
* N(E_F): 0.374 states/eV/atom
* offset from the most stable computed form: 210.6 meV/atom
* crystal system: tetragonal

a b c (Å): 3.852 3.852 7.476
angles (deg): 75.07 75.07 90.00
Sites, in units of the cell vectors:
Au 0.000 0.000 0.000
Pt 0.750 0.250 0.500
Pt 0.250 0.750 0.500
In 0.394 0.394 0.213
In 0.606 0.606 0.787



No. 3
Entry from Alexandria via LeMat-Bulk: a relaxed structure of CrCu2Cl (PBE-GGA).

* space-group type: No. 44
* N(E_F): 0.322 states/eV/atom
* offset from the most stable computed form: 287.4 meV/atom
* uncorrected formation energy: 0.433 eV/atom
* crystal system: orthorhombic

a b c (Å): 5.237 5.237 5.237
angles (deg): 147.27 124.50 65.94
Each line ends with the local moment (μB).
Sites, in units of the cell vectors:
Cr 0.259 0.759 0.500  3.12
Cu 0.017 0.017 0.000  0.05
Cu 0.761 0.261 0.500  0.03
Cl 0.463 0.463 0.000  -0.03